Entry 1:
Tl12Te3Cl5 | PBE | optimized geometry

## Properties
SG = Ia-3d
E_form (uncorrected) = -50.4 kJ per mole of atoms

Unit cell a=16.4139 b=16.4139 c=16.4139 alpha=109.47 beta=109.47 gamma=109.47
With the nearest neighbours (Å) after each atom.
Sites, in units of the cell vectors:
Te 0.7500 0.3750 0.1250  8 Tl 3.44-3.53
Te 0.8750 0.7500 0.1250  8 Tl 3.44-3.53
Te 0.3750 0.7500 0.6250  8 Tl 3.44-3.53
Te 0.2500 0.1250 0.3750  8 Tl 3.44-3.53
Te 0.8750 0.1250 0.2500  8 Tl 3.44-3.53
Te 0.3750 0.6250 0.2500  8 Tl 3.44-3.53
Te 0.6250 0.3750 0.7500  8 Tl 3.44-3.53
Te 0.1250 0.8750 0.7500  8 Tl 3.44-3.53
Te 0.7500 0.8750 0.6250  8 Tl 3.44-3.53
Te 0.6250 0.2500 0.3750  8 Tl 3.44-3.53
Te 0.1250 0.2500 0.8750  8 Tl 3.44-3.53
Te 0.2500 0.6250 0.8750  8 Tl 3.44-3.53
Cl 0.1250 0.3750 0.2500  4 Tl 3.06
Cl 0.0000 0.5000 0.0000  6 Tl 3.18
Cl 0.0000 0.0000 0.0000  6 Tl 3.18
Cl 0.3750 0.2500 0.1250  4 Tl 3.06
Cl 0.5000 0.0000 0.5000  6 Tl 3.18
Cl 0.5000 0.5000 0.0000  6 Tl 3.18
Cl 0.1250 0.7500 0.3750  4 Tl 3.06
Cl 0.7500 0.1250 0.8750  4 Tl 3.06
Cl 0.7500 0.6250 0.3750  4 Tl 3.06
Cl 0.3750 0.1250 0.7500  4 Tl 3.06
Cl 0.6250 0.8750 0.2500  4 Tl 3.06
Cl 0.5000 0.5000 0.5000  6 Tl 3.18
Cl 0.5000 0.0000 0.0000  6 Tl 3.18
Cl 0.0000 0.0000 0.5000  6 Tl 3.18
Cl 0.2500 0.3750 0.6250  4 Tl 3.06
Cl 0.2500 0.8750 0.1250  4 Tl 3.06
Cl 0.0000 0.5000 0.5000  6 Tl 3.18
Cl 0.8750 0.2500 0.6250  4 Tl 3.06
Cl 0.6250 0.7500 0.8750  4 Tl 3.06
Cl 0.8750 0.6250 0.7500  4 Tl 3.06
Tl 0.7201 0.1402 0.0527  2 Cl 3.06-3.18
Tl 0.3326 0.5527 0.4126  2 Cl 3.06-3.18
Tl 0.9473 0.3598 0.2799  2 Cl 3.06-3.18
Tl 0.5527 0.2201 0.1402  2 Cl 3.06-3.18
Tl 0.5800 0.7201 0.6674  2 Cl 3.06-3.18
Tl 0.9473 0.5874 0.1674  2 Cl 3.06-3.18
Tl 0.3326 0.7799 0.4200  2 Cl 3.06-3.18
Tl 0.0874 0.9200 0.1402  2 Cl 3.06-3.18
Tl 0.5874 0.9473 0.6674  2 Cl 3.06-3.18
Tl 0.7201 0.5800 0.1674  2 Cl 3.06-3.18
Tl 0.7799 0.4473 0.3598  2 Cl 3.06-3.18
Tl 0.8326 0.9126 0.0527  2 Cl 3.06-3.18
Tl 0.1402 0.7201 0.5527  2 Cl 3.06-3.18
Tl 0.3598 0.4126 0.0800  2 Cl 3.06-3.18
Tl 0.0800 0.9126 0.3598  2 Cl 3.06-3.18
Tl 0.4200 0.1402 0.5874  2 Cl 3.06-3.18
Tl 0.0800 0.1674 0.2201  2 Cl 3.06-3.18
Tl 0.4473 0.6674 0.0874  2 Cl 3.06-3.18
Tl 0.8326 0.9200 0.2799  2 Cl 3.06-3.18
Tl 0.1402 0.4200 0.0874  2 Cl 3.06-3.18
Tl 0.3598 0.9473 0.7799  2 Cl 3.06-3.18
Tl 0.5874 0.6402 0.4200  2 Cl 3.06-3.18
Tl 0.9126 0.8326 0.5527  2 Cl 3.06-3.18
Tl 0.7799 0.3326 0.9200  2 Cl 3.06-3.18
Tl 0.4126 0.3598 0.5800  2 Cl 3.06-3.18
Tl 0.0874 0.1674 0.4473  2 Cl 3.06-3.18
Tl 0.2201 0.6674 0.0800  2 Cl 3.06-3.18
Tl 0.1674 0.0800 0.7201  2 Cl 3.06-3.18
Tl 0.6402 0.0527 0.2201  2 Cl 3.06-3.18
Tl 0.8598 0.5800 0.9126  2 Cl 3.06-3.18
Tl 0.5527 0.3326 0.9126  2 Cl 3.06-3.18
Tl 0.5800 0.8598 0.4126  2 Cl 3.06-3.18
Tl 0.9200 0.8326 0.7799  2 Cl 3.06-3.18
Tl 0.9200 0.0874 0.6402  2 Cl 3.06-3.18
Tl 0.8598 0.2799 0.4473  2 Cl 3.06-3.18
Tl 0.1674 0.0874 0.9473  2 Cl 3.06-3.18
Tl 0.6402 0.5874 0.9200  2 Cl 3.06-3.18
Tl 0.4126 0.0527 0.3326  2 Cl 3.06-3.18
Tl 0.2799 0.4200 0.8326  2 Cl 3.06-3.18
Tl 0.2201 0.5527 0.6402  2 Cl 3.06-3.18
Tl 0.9126 0.0800 0.8598  2 Cl 3.06-3.18
Tl 0.6674 0.2201 0.5800  2 Cl 3.06-3.18
Tl 0.4473 0.7799 0.8598  2 Cl 3.06-3.18
Tl 0.0527 0.4126 0.8326  2 Cl 3.06-3.18
Tl 0.4200 0.2799 0.3326  2 Cl 3.06-3.18
Tl 0.0527 0.6402 0.7201  2 Cl 3.06-3.18
Tl 0.6674 0.4473 0.5874  2 Cl 3.06-3.18
Tl 0.2799 0.8598 0.9473  2 Cl 3.06-3.18

=====

Entry 2:
CuTcNi4 | PBE | optimized geometry

## Properties
Energy of formation from the pure elements = 175.7 meV per atom
SG = F-43m

Unit cell a=4.6613 b=4.6613 c=4.6613 alpha=60.00 beta=60.00 gamma=60.00
With the nearest neighbours (Å) after each atom.
Sites, in units of the cell vectors:
Cu 0.0000 0.0000 0.0000  12 Ni 2.73, 4 Tc 2.85
Tc 0.7500 0.7500 0.7500  12 Ni 2.73, 4 Cu 2.85
Ni 0.3748 0.8757 0.3748  6 Ni 2.33
Ni 0.8757 0.3748 0.3748  6 Ni 2.33
Ni 0.3748 0.3748 0.8757  6 Ni 2.33
Ni 0.3748 0.3748 0.3748  6 Ni 2.33